Entry 1:
The following is a PBE calculation of a geometry-optimized CaHgP2 structure, from Alexandria.

Spin magnetization = 0.00 μB per formula unit
SG = Cmmm, No. 65
Energy relative to the elements = -0.09 eV per atom

a = 3.8727 Å, b = 3.8727 Å, c = 5.8321 Å
α = 90.00°, β = 90.00°, γ = 90.29°
Fractional positions:
P 0.0000 0.0000 0.5541
Ca 0.5000 0.5000 0.2500
P 0.0000 0.0000 0.9459
Hg 0.5000 0.5000 0.7500

***

Entry 2:
The following is a PBE calculation of a geometry-optimized Ca2HgP structure, from Alexandria.

Spin magnetization = 0.00 μB per formula unit
E above lowest polymorph = 163 meV/atom
SG = Imm2, No. 44
Energy relative to the elements = -0.67 eV per atom

a = 7.6171 Å, b = 7.6171 Å, c = 7.6171 Å
α = 150.97°, β = 148.13°, γ = 43.64°
Fractional positions:
Ca 0.7701 0.2701 0.5000
P 0.2146 0.7146 0.5000
Ca 0.0663 0.0663 0.0000
Hg 0.4490 0.4490 0.0000